MgNi2Pd8 | PBE-GGA | optimized geometry

The calculation puts the formation energy at -14.3 kJ/mol of atoms. Its theoretical density is 10.119 Mg/m³. Its calculated total energy is -5.120 eV per atom.

The space group is P-1 (No. 2) and the conventional cell measures 4.7841, 4.7851 and 7.2801 Å, with angles of 83.06, 89.22 and 80.09 degrees. Symmetry generates all atoms from Mg at (0.0000, 0.0000, 0.0000), Ni at (0.2716, 0.3682, 0.5474), Pd at (0.0840, 0.4444, 0.1936), Pd at (0.1813, 0.8895, 0.3718), Pd at (0.3745, 0.8261, 0.7208) and Pd at (0.4525, 0.2783, 0.9063).

=====

Mg2NiPd | PBE-GGA | optimized geometry

The calculation puts the formation energy at -41.6 kJ/mol of atoms. Its theoretical density is 5.845 Mg/m³. Its calculated total energy is -3.972 eV per atom.

The space group is P4/mmm (No. 123) and the conventional cell measures 3.0710, 3.0710 and 6.4375 Å, with angles of 90.00, 90.00 and 90.00 degrees. Symmetry generates all atoms from Mg at (0.0000, 0.0000, 0.2385), Ni at (0.5000, 0.5000, 0.0000) and Pd at (0.5000, 0.5000, 0.5000).

=====

Mg2NiPd8 | PBE-GGA | optimized geometry

The calculation puts the formation energy at -22.6 kJ/mol of atoms. Its theoretical density is 9.208 Mg/m³. Its calculated total energy is -4.827 eV per atom.

The space group is Immm (No. 71) and the conventional cell measures 4.3187, 6.3286 and 12.6506 Å, with angles of 90.00, 90.00 and 90.00 degrees. Symmetry generates all atoms from Mg at (0.0000, 0.0000, 0.1973), Ni at (0.0000, 0.0000, 0.5000), Pd at (0.0000, 0.2180, 0.0000), Pd at (0.0000, 0.2787, 0.3598) and Pd at (0.0000, 0.5000, 0.1646).